Entry 1:
! Tb2ScFe | Alexandria via LeMat-Bulk | GGA-PBE | optimized geometry; values from VASP
&SYSTEM
  ibrav = 0, nat = 4, ntyp = 3
/
ATOMIC_SPECIES
Sc 44.96 Sc.upf
Tb 158.93 Tb.upf
Fe 55.84 Fe.upf
ATOMIC_POSITIONS crystal
Sc 0.5000 0.5000 0.5000
Tb 0.0817 0.0817 0.7549
Tb 0.9183 0.9183 0.2451
Fe 0.0000 0.0000 0.0000
CELL_PARAMETERS angstrom
-1.8907 1.4893 2.2356
-3.2253 0.3254 -0.5311
-3.4643 -8.9115 5.4203
! Calculated volume, Å³ per cell: 101.17
! Energy, eV per atom: -5.4402
! Energy of formation, eV/atom: 0.573
! N(E_F), states/eV/cell: 5.89
! Crystal system: trigonal


Entry 2:
! InIr2Se | Alexandria via LeMat-Bulk | GGA-PBE | optimized geometry; values from VASP
&SYSTEM
  ibrav = 0, nat = 4, ntyp = 3
/
ATOMIC_SPECIES
In 114.82 In.upf
Ir 192.22 Ir.upf
Se 78.96 Se.upf
ATOMIC_POSITIONS crystal
In 0.5000 0.5000 0.0000
Ir 0.0000 0.0000 0.0000
Ir 0.5000 0.0000 0.5000
Se 0.0000 0.5000 0.5000
CELL_PARAMETERS angstrom
5.0225 0.0009 0.0027
-2.5338 4.8634 0.0058
-0.0452 0.9091 2.8385
! Calculated volume, Å³ per cell: 69.31
! Polymorph energy (0 for the lowest one), meV/atom: 295.4
! Energy, eV per atom: -5.5234
! N(E_F), states/eV/cell: 3.73
! Crystal system: monoclinic
! Formation energy from raw total energies, eV per atom: 0.4629


Entry 3:
! Tb3Bi2C | Alexandria via LeMat-Bulk | GGA-PBE | optimized geometry; values from VASP
&SYSTEM
  ibrav = 0, nat = 12, ntyp = 3
/
ATOMIC_SPECIES
Tb 158.93 Tb.upf
Bi 208.98 Bi.upf
C 12.01 C.upf
ATOMIC_POSITIONS crystal
Tb 0.2500 0.3352 0.3352
Tb 0.7500 0.6648 0.6648
Tb 0.5000 0.1479 0.8521
Tb 0.0000 0.1479 0.8521
Tb 0.5000 0.8521 0.1479
Tb 0.0000 0.8521 0.1479
Bi 0.7500 0.4650 0.1718
Bi 0.2500 0.5350 0.8282
Bi 0.2500 0.8282 0.5350
Bi 0.7500 0.1718 0.4650
C 0.7500 0.9232 0.9232
C 0.2500 0.0768 0.0768
CELL_PARAMETERS angstrom
-5.4594 -0.9481 -3.6572
4.0053 -2.4905 -5.3334
-1.5348 -5.8217 3.8003
! Calculated volume, Å³ per cell: 327.11
! Energy, eV per atom: -5.6674
! Energy of formation, eV/atom: -0.521
! N(E_F), states/eV/cell: 5.30
! Crystal system: orthorhombic


Entry 4:
! ZnHIO4 | Alexandria via LeMat-Bulk | GGA-PBE | optimized geometry; values from VASP
&SYSTEM
  ibrav = 0, nat = 14, ntyp = 4
/
ATOMIC_SPECIES
Zn 65.41 Zn.upf
H 1.01 H.upf
I 126.90 I.upf
O 16.00 O.upf
ATOMIC_POSITIONS crystal
Zn 0.4755 0.4228 0.6523
Zn 0.4228 0.4755 0.1523
H 0.7467 0.7888 0.4012
H 0.7888 0.7467 0.9012
I 0.9384 0.3436 0.8646
I 0.3436 0.9384 0.3646
O 0.1080 0.2211 0.7450
O 0.2211 0.1080 0.2450
O 0.7059 0.0653 0.0254
O 0.0653 0.7059 0.5254
O 0.1759 0.5473 0.0638
O 0.5473 0.1759 0.5638
O 0.5610 0.6652 0.4158
O 0.6652 0.5610 0.9158
CELL_PARAMETERS angstrom
5.7884 2.9437 -0.1024
-5.7884 2.9437 -0.1024
0.0000 0.4994 6.3417
! Calculated volume, Å³ per cell: 216.71
! Energy, eV per atom: -4.4953
! N(E_F), states/eV/cell: 0.00
! Crystal system: monoclinic


Entry 5:
! La2ErTm4Sc | Alexandria via LeMat-Bulk | GGA-PBE | optimized geometry; values from VASP
&SYSTEM
  ibrav = 0, nat = 16, ntyp = 4
/
ATOMIC_SPECIES
La 138.91 La.upf
Er 167.26 Er.upf
Tm 168.93 Tm.upf
Sc 44.96 Sc.upf
ATOMIC_POSITIONS crystal
La 0.5000 0.0000 0.0000
La 0.5000 0.0000 0.5000
La 0.0000 0.0000 0.5000
La 0.5000 0.5000 0.0000
Er 0.0000 0.5000 0.0000
Er 0.0000 0.5000 0.5000
Tm 0.2344 0.7574 0.9997
Tm 0.7426 0.2656 0.5003
Tm 0.2574 0.7344 0.4997
Tm 0.7656 0.2426 0.0003
Tm 0.6163 0.5997 0.8348
Tm 0.9003 0.8837 0.6652
Tm 0.0997 0.1163 0.3348
Tm 0.3837 0.4003 0.1652
Sc 0.5000 0.5000 0.5000
Sc 0.0000 0.0000 0.0000
CELL_PARAMETERS angstrom
1.2472 0.6855 -9.0134
1.5197 -8.9500 -0.9248
-8.1969 5.6310 6.9840
! Calculated volume, Å³ per cell: 510.58
! Energy, eV per atom: -4.4028
! Energy of formation, eV/atom: 0.427
! N(E_F), states/eV/cell: 30.83
! Crystal system: monoclinic


Entry 6:
! Cs2AgSbBr6 | Alexandria via LeMat-Bulk | GGA-PBE | optimized geometry; values from VASP
&SYSTEM
  ibrav = 0, nat = 10, ntyp = 4
/
ATOMIC_SPECIES
Cs 132.91 Cs.upf
Ag 107.87 Ag.upf
Sb 121.76 Sb.upf
Br 79.90 Br.upf
ATOMIC_POSITIONS crystal
Cs 0.7500 0.7500 0.7500
Cs 0.2500 0.2500 0.2500
Ag 0.5000 0.5000 0.5000
Sb 0.0000 0.0000 0.0000
Br 0.7514 0.2486 0.2486
Br 0.2486 0.2486 0.7514
Br 0.2486 0.7514 0.7514
Br 0.2486 0.7514 0.2486
Br 0.7514 0.2486 0.7514
Br 0.7514 0.7514 0.2486
CELL_PARAMETERS angstrom
8.0402 0.0000 0.0000
4.0201 6.9630 0.0000
4.0201 2.3210 6.5648
! Calculated volume, Å³ per cell: 367.52
! Energy, eV per atom: -2.9467
! Crystal system: cubic
! Formation energy from raw total energies, eV per atom: -1.0749


Entry 7:
! NaIr2N | Alexandria via LeMat-Bulk | GGA-PBE | optimized geometry; values from VASP
&SYSTEM
  ibrav = 0, nat = 4, ntyp = 3
/
ATOMIC_SPECIES
Na 22.99 Na.upf
Ir 192.22 Ir.upf
N 14.01 N.upf
ATOMIC_POSITIONS crystal
Na 0.5000 0.5000 0.5000
Ir 0.2500 0.2500 0.2500
Ir 0.7500 0.7500 0.7500
N 0.0000 0.0000 0.0000
CELL_PARAMETERS angstrom
0.0000 2.9760 2.9760
2.9760 0.0000 2.9760
2.9760 2.9760 0.0000
! Calculated volume, Å³ per cell: 52.71
! Polymorph energy (0 for the lowest one), meV/atom: 1164.1
! Energy, eV per atom: -5.0476
! N(E_F), states/eV/cell: 1.69
! Crystal system: cubic
! Formation energy from raw total energies, eV per atom: 1.7940


Entry 8:
! Er5TlIn2 | Alexandria via LeMat-Bulk | GGA-PBE | optimized geometry; values from VASP
&SYSTEM
  ibrav = 0, nat = 8, ntyp = 3
/
ATOMIC_SPECIES
Er 167.26 Er.upf
Tl 204.38 Tl.upf
In 114.82 In.upf
ATOMIC_POSITIONS crystal
Er 0.7220 0.2222 0.9442
Er 0.2222 0.2222 0.9443
Er 0.7221 0.7221 0.9443
Er 0.2222 0.7220 0.9442
Er 0.7223 0.7223 0.4446
Tl 0.2219 0.2219 0.4438
In 0.2222 0.7222 0.4444
In 0.7221 0.2221 0.4443
CELL_PARAMETERS angstrom
-5.9640 -1.6530 -3.0097
2.1409 -6.5070 -0.6652
0.1159 3.0684 5.9504
! Calculated volume, Å³ per cell: 217.89
! Polymorph energy (0 for the lowest one), meV/atom: 53.5
! Energy, eV per atom: -4.1087
! Energy of formation, eV/atom: -0.276
! N(E_F), states/eV/cell: 8.85
! Crystal system: tetragonal


Entry 9:
! MnZn2Cd | Alexandria via LeMat-Bulk | GGA-PBE | optimized geometry; values from VASP
&SYSTEM
  ibrav = 0, nat = 4, ntyp = 3
/
ATOMIC_SPECIES
Cd 112.41 Cd.upf
Mn 54.94 Mn.upf
Zn 65.41 Zn.upf
ATOMIC_POSITIONS crystal
Cd 0.4994 0.4994 0.5018
Mn 0.2580 0.2580 0.2287
Zn 0.0010 0.0010 0.0055
Zn 0.7417 0.7417 0.7640
CELL_PARAMETERS angstrom
-2.7675 -3.8487 1.0313
-1.0938 -3.3641 3.3200
-3.8479 2.1636 2.3558
! Calculated volume, Å³ per cell: 65.27
! Energy, eV per atom: -3.0024
! Energy of formation, eV/atom: 0.156
! N(E_F), states/eV/cell: 2.02
! Crystal system: monoclinic


Entry 10:
! TmThNi2As2 | Alexandria via LeMat-Bulk | GGA-PBE | optimized geometry; values from VASP
&SYSTEM
  ibrav = 0, nat = 6, ntyp = 4
/
ATOMIC_SPECIES
Tm 168.93 Tm.upf
Th 232.04 Th.upf
Ni 58.69 Ni.upf
As 74.92 As.upf
ATOMIC_POSITIONS crystal
Tm 0.0000 0.0000 0.5000
Th 0.0000 0.0000 0.0000
Ni 0.6667 0.3333 0.2409
Ni 0.3333 0.6667 0.7591
As 0.6667 0.3333 0.7300
As 0.3333 0.6667 0.2700
CELL_PARAMETERS angstrom
-3.8438 1.2229 0.5016
1.2344 -3.5294 1.5943
2.0478 3.7145 6.6373
! Calculated volume, Å³ per cell: 112.71
! Energy, eV per atom: -6.5136
! Energy of formation, eV/atom: -1.055
! N(E_F), states/eV/cell: 2.44
! Crystal system: trigonal


Entry 11:
! PrGd2Tc | Alexandria via LeMat-Bulk | GGA-PBE | optimized geometry; values from VASP
&SYSTEM
  ibrav = 0, nat = 4, ntyp = 3
/
ATOMIC_SPECIES
Pr 140.91 Pr.upf
Gd 157.25 Gd.upf
Tc 98.00 Tc.upf
ATOMIC_POSITIONS crystal
Pr 0.5000 0.5000 0.5000
Gd 0.0000 0.0000 0.8187
Gd 0.0000 0.0000 0.1813
Tc 0.5000 0.5000 0.0000
CELL_PARAMETERS angstrom
-2.1270 2.4280 1.2816
-2.0432 -2.4827 1.3126
4.8792 0.1328 7.8459
! Calculated volume, Å³ per cell: 111.45
! Polymorph energy (0 for the lowest one), meV/atom: 0.0
! Energy, eV per atom: -10.7885
! Energy of formation, eV/atom: 0.038
! N(E_F), states/eV/cell: 5.69
! Crystal system: tetragonal


Entry 12:
! Li3Er2Au4 | Alexandria via LeMat-Bulk | GGA-PBE | optimized geometry; values from VASP
&SYSTEM
  ibrav = 0, nat = 18, ntyp = 3
/
ATOMIC_SPECIES
Li 6.94 Li.upf
Er 167.26 Er.upf
Au 196.97 Au.upf
ATOMIC_POSITIONS crystal
Li 0.0000 0.0000 0.0000
Li 0.5000 0.5000 0.0000
Li 0.5345 0.7500 0.5690
Li 0.9655 0.2500 0.4310
Li 0.4655 0.2500 0.4310
Li 0.0345 0.7500 0.5690
Er 0.1135 0.5881 0.2270
Er 0.8865 0.4119 0.7730
Er 0.3865 0.0881 0.7730
Er 0.6135 0.9119 0.2270
Au 0.7035 0.7500 0.9069
Au 0.7965 0.2500 0.0931
Au 0.2965 0.2500 0.0931
Au 0.2035 0.7500 0.9069
Au 0.1838 0.9566 0.3677
Au 0.8162 0.0434 0.6323
Au 0.3162 0.4566 0.6323
Au 0.6838 0.5434 0.3677
CELL_PARAMETERS angstrom
-4.3388 2.7760 2.5508
-5.0039 -5.3312 -2.7095
3.2001 -5.5465 5.0034
! Calculated volume, Å³ per cell: 340.68
! Polymorph energy (0 for the lowest one), meV/atom: 31.3
! Energy, eV per atom: -3.7338
! Energy of formation, eV/atom: -0.625
! N(E_F), states/eV/cell: 9.71
! Crystal system: orthorhombic


Entry 13:
! CsAcTe | Alexandria via LeMat-Bulk | GGA-PBE | optimized geometry; values from VASP
&SYSTEM
  ibrav = 0, nat = 12, ntyp = 3
/
ATOMIC_SPECIES
Te 127.60 Te.upf
Ac 227.00 Ac.upf
Cs 132.91 Cs.upf
ATOMIC_POSITIONS crystal
Te 0.7500 0.2496 0.2503
Te 0.7500 0.2504 0.7503
Te 0.2500 0.7504 0.7497
Te 0.2500 0.7496 0.2497
Ac 0.5000 0.0000 0.0000
Ac 0.5000 0.5000 0.5000
Ac 0.0000 0.5000 0.5000
Ac 0.0000 0.0000 0.0000
Cs 0.7500 0.5931 0.0010
Cs 0.2500 0.0931 0.4990
Cs 0.7500 0.9069 0.5010
Cs 0.2500 0.4069 0.9990
CELL_PARAMETERS angstrom
-0.4082 -5.6918 -4.2349
-2.5916 -5.0647 7.0569
-8.1352 1.8294 -1.6746
! Calculated volume, Å³ per cell: 547.84
! Polymorph energy (0 for the lowest one), meV/atom: 99.6
! Energy, eV per atom: -3.3530
! N(E_F), states/eV/cell: 8.21
! Crystal system: orthorhombic
! Formation energy from raw total energies, eV per atom: -0.6517


Entry 14:
! EuErTm2 | Alexandria via LeMat-Bulk | GGA-PBE | optimized geometry; values from VASP
&SYSTEM
  ibrav = 0, nat = 4, ntyp = 3
/
ATOMIC_SPECIES
Eu 151.96 Eu.upf
Tm 168.93 Tm.upf
Er 167.26 Er.upf
ATOMIC_POSITIONS crystal
Eu 0.0000 0.0000 0.0000
Tm 0.0917 0.0917 0.7249
Tm 0.9083 0.9083 0.2751
Er 0.5000 0.5000 0.5000
CELL_PARAMETERS angstrom
-3.0457 -1.3311 -1.0608
-0.1678 -1.8204 -2.9717
1.3099 -11.4863 4.9140
! Calculated volume, Å³ per cell: 130.72
! Polymorph energy (0 for the lowest one), meV/atom: 99.3
! Energy, eV per atom: -5.7750
! Energy of formation, eV/atom: 0.170
! N(E_F), states/eV/cell: 5.29
! Crystal system: trigonal


Entry 15:
! Cu3As | Alexandria via LeMat-Bulk | GGA-PBE | optimized geometry; values from VASP
&SYSTEM
  ibrav = 0, nat = 4, ntyp = 2
/
ATOMIC_SPECIES
As 74.92 As.upf
Cu 63.55 Cu.upf
ATOMIC_POSITIONS crystal
As 0.0000 0.0000 0.9905
Cu 0.5000 0.0000 0.4901
Cu 0.5000 0.5000 0.8370
Cu 0.0000 0.5000 0.3490
CELL_PARAMETERS angstrom
2.9559 0.0000 0.0000
0.0000 4.1334 0.0000
0.0000 0.0000 4.4145
! Calculated volume, Å³ per cell: 53.94
! Energy, eV per atom: -4.1355
! Energy of formation, eV/atom: 0.099
! N(E_F), states/eV/cell: 1.32
! Crystal system: orthorhombic


Entry 16:
! GdYCdCo | Alexandria via LeMat-Bulk | GGA-PBE | optimized geometry; values from VASP
&SYSTEM
  ibrav = 0, nat = 4, ntyp = 4
/
ATOMIC_SPECIES
Y 88.91 Y.upf
Gd 157.25 Gd.upf
Co 58.93 Co.upf
Cd 112.41 Cd.upf
ATOMIC_POSITIONS crystal
Y 0.0000 0.0000 0.0000
Gd 0.5000 0.5000 0.5000
Co 0.7500 0.7500 0.7500
Cd 0.2500 0.2500 0.2500
CELL_PARAMETERS angstrom
5.0593 0.0000 0.0000
2.5296 4.3815 0.0000
2.5296 1.4605 4.1309
! Calculated volume, Å³ per cell: 91.57
! Energy, eV per atom: -7.2587
! Energy of formation, eV/atom: -0.117
! N(E_F), states/eV/cell: 3.14
! Crystal system: cubic


Entry 17:
! InOsCl2 | Alexandria via LeMat-Bulk | GGA-PBE | optimized geometry; values from VASP
&SYSTEM
  ibrav = 0, nat = 4, ntyp = 3
/
ATOMIC_SPECIES
Cl 35.45 Cl.upf
Os 190.23 Os.upf
In 114.82 In.upf
ATOMIC_POSITIONS crystal
Cl 0.0000 0.0000 0.0000
Cl 0.5000 0.5000 0.0000
Os 0.0000 0.5000 0.5000
In 0.5000 0.0000 0.5000
CELL_PARAMETERS angstrom
-2.1766 0.0752 -4.8310
4.9960 -1.5323 -0.8796
-0.8575 -2.9911 0.3398
! Calculated volume, Å³ per cell: 85.33
! Polymorph energy (0 for the lowest one), meV/atom: 886.6
! Energy, eV per atom: -3.5166
! N(E_F), states/eV/cell: 2.60
! Crystal system: orthorhombic
! Formation energy from raw total energies, eV per atom: 0.8987


Entry 18:
! HoHgPt | Alexandria via LeMat-Bulk | GGA-PBE | optimized geometry; values from VASP
&SYSTEM
  ibrav = 0, nat = 3, ntyp = 3
/
ATOMIC_SPECIES
Hg 200.59 Hg.upf
Pt 195.08 Pt.upf
Ho 164.93 Ho.upf
ATOMIC_POSITIONS crystal
Hg 0.0000 0.0000 0.0000
Pt 0.2500 0.2500 0.2500
Ho 0.5000 0.5000 0.5000
CELL_PARAMETERS angstrom
4.7067 0.0000 0.0000
2.3533 4.0761 0.0000
2.3533 1.3587 3.8430
! Calculated volume, Å³ per cell: 73.73
! Energy, eV per atom: -4.4047
! Energy of formation, eV/atom: -0.765
! N(E_F), states/eV/cell: 1.62
! Crystal system: cubic


Entry 19:
! Al4OsPt | Alexandria via LeMat-Bulk | GGA-PBE | optimized geometry; values from VASP
&SYSTEM
  ibrav = 0, nat = 6, ntyp = 3
/
ATOMIC_SPECIES
Al 26.98 Al.upf
Os 190.23 Os.upf
Pt 195.08 Pt.upf
ATOMIC_POSITIONS crystal
Al 0.8750 0.3750 0.3750
Al 0.3750 0.3750 0.8750
Al 0.3750 0.8750 0.3750
Al 0.3750 0.3750 0.3750
Os 0.7500 0.7500 0.7500
Pt 0.0000 0.0000 0.0000
CELL_PARAMETERS angstrom
3.9681 -2.1821 2.0597
-0.3221 -4.6719 1.6790
2.3446 -3.6730 -2.4002
! Calculated volume, Å³ per cell: 87.06
! Energy, eV per atom: -5.3714
! Energy of formation, eV/atom: 0.002
! N(E_F), states/eV/cell: 2.63
! Crystal system: cubic


Entry 20:
! LaCuMo4 | Alexandria via LeMat-Bulk | GGA-PBE | optimized geometry; values from VASP
&SYSTEM
  ibrav = 0, nat = 6, ntyp = 3
/
ATOMIC_SPECIES
La 138.91 La.upf
Cu 63.55 Cu.upf
Mo 95.94 Mo.upf
ATOMIC_POSITIONS crystal
La 0.0000 0.0000 0.0000
Cu 0.7500 0.7500 0.7500
Mo 0.8745 0.3752 0.3752
Mo 0.3752 0.3752 0.8745
Mo 0.3752 0.8745 0.3752
Mo 0.3752 0.3752 0.3752
CELL_PARAMETERS angstrom
0.0000 3.8417 3.8417
3.8417 0.0000 3.8417
3.8417 3.8417 0.0000
! Calculated volume, Å³ per cell: 113.40
! Energy, eV per atom: -8.1428
! Energy of formation, eV/atom: 0.582
! N(E_F), states/eV/cell: 7.99
! Crystal system: cubic